Entry 1:
The following is a PBE calculation of a relaxed MnVSiB crystal, from the Alexandria database.

It has space group R3m (No. 160, hexagonal axes), with a = 3.0802 Å, b = 3.0802 Å, c = 16.3368 Å, α = 90.00°, β = 90.00° and γ = 120.00°. The distinct sites, in fractional coordinates, are Mn at (0.0000, 0.0000, 0.0000), V at (0.0000, 0.0000, 0.1997), Si at (0.0000, 0.0000, 0.7604) and B at (0.0000, 0.0000, 0.6067).

Its uncorrected formation energy is -295 meV/atom. As for the crystal system: trigonal. The magnetization comes out at 2.6 Bohr magnetons per cell. As for the distance to the lowest polymorph of the same formula: 58 meV per atom.



Entry 2:
The following is a PBE calculation of a relaxed MnVSiB crystal, from the Alexandria database.

It has space group P1 (No. 1), with a = 2.864 Å, b = 4.124 Å, c = 4.526 Å, α = 67.07°, β = 71.82° and γ = 69.88°. The distinct sites, in fractional coordinates, are Mn at (0.000, 0.000, 0.000), V at (0.824, 0.759, 0.594), Si at (0.649, 0.477, 0.219) and B at (0.482, 0.306, 0.729).

Its uncorrected formation energy is -156 meV/atom. As for the crystal system: triclinic. The magnetization comes out at 0.0 Bohr magnetons per cell. As for the distance to the lowest polymorph of the same formula: 198 meV per atom.



Entry 3:
The following is a PBE calculation of a relaxed MnVSiB crystal, from the Alexandria database.

It has space group Amm2 (No. 38), with a = 3.262 Å, b = 3.237 Å, c = 8.250 Å, α = 90.00°, β = 90.00° and γ = 90.00°. The distinct sites, in fractional coordinates, are Mn at (0.000, 0.000, 0.000), V at (0.500, 0.000, 0.710), Si at (0.000, 0.000, 0.288) and B at (0.500, 0.000, 0.442).

Its uncorrected formation energy is -301 meV/atom. As for the crystal system: orthorhombic. The magnetization comes out at 4.5 Bohr magnetons per cell. As for the distance to the lowest polymorph of the same formula: 53 meV per atom.



Entry 4:
The following is a PBE calculation of a relaxed YMnSi2B crystal, from the Alexandria database.

It has space group P4/mmm (No. 123), with a = 5.278 Å, b = 5.278 Å, c = 4.759 Å, α = 90.00°, β = 90.00° and γ = 90.00°. The distinct sites, in fractional coordinates, are Y at (0.000, 0.000, 0.000), Mn at (0.000, 0.000, 0.500), Si at (0.000, 0.500, 0.000) and B at (0.500, 0.500, 0.500).

Its uncorrected formation energy is 2473 meV/atom. As for the crystal system: tetragonal. The magnetization comes out at 0.2 Bohr magnetons per cell.